Computed, not measured: crystalline SrCrRe2 at its relaxed geometry at the PBE level of DFT.

ΔE_f (eV/f.u.): 2.49
DFT total energy (eV/atom): -8.427
SG: P4mm, No. 99
Distance to the lowest polymorph of the same formula (meV/atom): 0.0

Cell: 3.130 3.130 8.041 Å, 90.00 90.00 90.00°
Positions (direct):
1 Sr 0.000 0.000 0.000
2 Cr 0.500 0.500 0.334
3 Re 0.000 0.000 0.526
4 Re 0.500 0.500 0.699